Record 1
The following is a DFT calculation (PBE-GGA) of a relaxed Na2MnRh crystal.

Calculated values
symmetry: No. 122
total magnetization: 1.206 μB per atom
formation enthalpy at 0 K: 686 meV/atom

Unit cell a=8.078 b=8.078 c=6.261 alpha=49.82 beta=49.82 gamma=90.00
Atoms (fractional coordinates):
Na: 0.875 0.897 0.750
Na: 0.103 0.625 0.250
Na: 0.375 0.353 0.750
Na: 0.647 0.125 0.250
Mn: 0.500 0.500 0.000
Mn: 0.250 0.750 0.500
Rh: 0.000 0.000 0.000
Rh: 0.750 0.250 0.500


Record 2
The following is a DFT calculation (PBE-GGA) of a relaxed Na2MnRh crystal.

Calculated values
symmetry: No. 225
total magnetization: 1.127 μB per atom
formation enthalpy at 0 K: 685 meV/atom

Unit cell a=4.748 b=4.748 c=4.748 alpha=60.00 beta=60.00 gamma=60.00
Atoms (fractional coordinates):
Na: 0.250 0.250 0.250
Na: 0.750 0.750 0.750
Rh: 0.500 0.500 0.500
Mn: 0.000 0.000 0.000


Record 3
The following is a DFT calculation (PBE-GGA) of a relaxed NaMn2Rh2 crystal.

Calculated values
distance to the lowest polymorph of the same formula: 95 meV per atom
symmetry: No. 127
total magnetization: 0.000 μB per atom
formation enthalpy at 0 K: 323 meV/atom

Unit cell a=7.447 b=7.447 c=2.598 alpha=90.00 beta=90.00 gamma=90.00
Atoms (fractional coordinates):
Mn: 0.336 0.164 0.500
Rh: 0.372 0.872 0.000
Mn: 0.836 0.336 0.500
Rh: 0.128 0.372 0.000
Rh: 0.872 0.628 0.000
Rh: 0.628 0.128 0.000
Na: 0.500 0.500 0.000
Mn: 0.664 0.836 0.500
Mn: 0.164 0.664 0.500
Na: 0.000 0.000 0.000


Record 4
The following is a DFT calculation (PBE-GGA) of a relaxed NaMn3Rh crystal.

Calculated values
distance to the lowest polymorph of the same formula: 0 meV per atom
symmetry: No. 221
total magnetization: 2.718 μB per atom
formation enthalpy at 0 K: 718 meV/atom

Unit cell a=4.908 b=4.908 c=4.908 alpha=90.00 beta=90.00 gamma=90.00
Atoms (fractional coordinates):
Rh: 0.000 0.000 0.000
Mn: 0.500 0.000 0.000
Mn: 0.000 0.000 0.500
Mn: 0.000 0.500 0.000
Na: 0.500 0.500 0.500


Record 5
The following is a DFT calculation (PBE-GGA) of a relaxed Na2MnRuRh crystal.

Calculated values
symmetry: No. 123
total magnetization: 1.244 μB per atom
formation enthalpy at 0 K: 1506 meV/atom

Unit cell a=4.996 b=4.475 c=4.996 alpha=90.00 beta=90.00 gamma=90.00
Atoms (fractional coordinates):
Rh: 0.000 0.500 0.000
Mn: 0.000 0.000 0.000
Ru: 0.500 0.500 0.500
Na: 0.000 0.000 0.500
Na: 0.500 0.000 0.000


Record 6
The following is a DFT calculation (PBE-GGA) of a relaxed Na2MnRh2S6 crystal.

Calculated values
symmetry: No. 12
total magnetization: 0.268 μB per atom
formation energy without anion corrections: -0.7075 eV/atom

Unit cell a=6.139 b=6.139 c=6.857 alpha=98.74 beta=98.74 gamma=120.00
Atoms (fractional coordinates):
Na: 0.833 0.167 0.000
S: 0.394 0.064 0.688
Mn: 0.000 0.000 0.500
S: 0.936 0.606 0.312
S: 0.736 0.736 0.689
S: 0.064 0.394 0.688
S: 0.264 0.264 0.311
Na: 0.167 0.833 0.000
S: 0.606 0.936 0.312
Rh: 0.332 0.668 0.500
Rh: 0.668 0.332 0.500


Record 7
The following is a DFT calculation (PBE-GGA) of a relaxed NaMnRhS3 crystal.

Calculated values
symmetry: No. 11
total magnetization: 0.000 μB per atom
formation energy without anion corrections: -0.6367 eV/atom

Unit cell a=3.543 b=7.512 c=8.605 alpha=109.05 beta=90.00 gamma=90.00
Atoms (fractional coordinates):
Rh: 0.250 0.685 0.156
S: 0.250 0.789 0.471
Na: 0.250 0.229 0.250
S: 0.750 0.890 0.135
S: 0.750 0.462 0.141
S: 0.750 0.211 0.529
Mn: 0.250 0.089 0.607
Mn: 0.750 0.911 0.393
Rh: 0.750 0.315 0.844
S: 0.250 0.538 0.859
S: 0.250 0.110 0.865
Na: 0.750 0.771 0.750


Record 8
The following is a DFT calculation (PBE-GGA) of a relaxed Na3MnRh2S6 crystal.

Calculated values
symmetry: No. 12
total magnetization: 0.333 μB per atom
formation energy without anion corrections: -0.7523 eV/atom

Unit cell a=6.276 b=6.276 c=6.730 alpha=98.98 beta=98.98 gamma=119.95
Atoms (fractional coordinates):
S: 0.596 0.935 0.806
Na: 0.834 0.166 0.500
S: 0.935 0.596 0.806
Na: 0.500 0.500 0.500
Rh: 0.333 0.667 0.000
S: 0.725 0.725 0.195
Na: 0.166 0.834 0.500
S: 0.275 0.275 0.805
Mn: 0.000 0.000 0.000
Rh: 0.667 0.333 0.000
S: 0.065 0.404 0.194
S: 0.404 0.065 0.194


Record 9
The following is a DFT calculation (PBE-GGA) of a relaxed Na4MnRh3S8 crystal.

Calculated values
symmetry: No. 166
total magnetization: 0.246 μB per atom
formation energy without anion corrections: -0.7495 eV/atom

Unit cell a=7.257 b=7.628 c=7.257 alpha=118.41 beta=120.00 gamma=90.00
Atoms (fractional coordinates):
Na: 0.000 0.000 0.000
S: 0.271 0.314 0.543
S: 0.729 0.686 0.457
Rh: 0.500 0.500 0.500
Na: 0.500 0.000 0.000
Na: 0.000 0.000 0.500
S: 0.765 0.305 0.531
S: 0.235 0.695 0.960
S: 0.765 0.305 0.040
Na: 0.500 0.000 0.500
Rh: 0.000 0.500 0.500
S: 0.726 0.695 0.960
Mn: 0.000 0.500 0.000
S: 0.274 0.305 0.040
S: 0.235 0.695 0.469
Rh: 0.500 0.500 0.000


Record 10
The following is a DFT calculation (PBE-GGA) of a relaxed Na3MnRh3Se8 crystal.

Calculated values
symmetry: No. 166
total magnetization: 0.193 μB per atom
formation energy without anion corrections: -0.6384 eV/atom

Unit cell a=7.511 b=7.510 c=8.074 alpha=117.72 beta=90.00 gamma=120.01
Atoms (fractional coordinates):
Se: 0.732 0.961 0.690
Rh: 0.000 0.500 0.500
Na: 0.500 0.500 0.000
Se: 0.771 0.039 0.310
Se: 0.229 0.961 0.690
Se: 0.729 0.459 0.688
Se: 0.268 0.039 0.310
Se: 0.771 0.541 0.310
Mn: 0.000 0.000 0.500
Rh: 0.500 0.500 0.500
Na: 0.000 0.000 0.000
Se: 0.229 0.459 0.690
Na: 0.000 0.500 0.000
Rh: 0.500 0.000 0.500
Se: 0.271 0.541 0.312


Record 11
The following is a DFT calculation (PBE-GGA) of a relaxed NaZrMnRh2 crystal.

Calculated values
symmetry: No. 123
total magnetization: 0.771 μB per atom
formation enthalpy at 0 K: 986 meV/atom

Unit cell a=4.570 b=4.292 c=4.570 alpha=90.00 beta=90.00 gamma=90.00
Atoms (fractional coordinates):
Zr: 0.500 0.500 0.500
Rh: 0.000 0.000 0.500
Rh: 0.500 0.000 0.000
Na: 0.000 0.000 0.000
Mn: 0.000 0.500 0.000


Record 12
The following is a DFT calculation (PBE-GGA) of a relaxed NaMn2Ru2 crystal.

Calculated values
symmetry: No. 127
total magnetization: 0.652 μB per atom
formation enthalpy at 0 K: 364 meV/atom

Unit cell a=7.512 b=7.512 c=2.629 alpha=90.00 beta=90.00 gamma=90.00
Atoms (fractional coordinates):
Na: 0.000 0.000 0.000
Mn: 0.161 0.661 0.500
Na: 0.500 0.500 0.000
Ru: 0.131 0.369 0.000
Ru: 0.869 0.631 0.000
Ru: 0.369 0.869 0.000
Mn: 0.839 0.339 0.500
Mn: 0.661 0.839 0.500
Ru: 0.631 0.131 0.000
Mn: 0.339 0.161 0.500